# YScAlCo

A relaxed structure of YScAlCo (PBE-GGA, OQMD).

total energy: -0.4467 Ry per atom

a = 4.661 Å, b = 4.661 Å, c = 4.661 Å
α = 60.00°, β = 60.00°, γ = 60.00°
Sites, in units of the cell vectors:
Al (0.000, 0.000, 0.000)
Co (0.750, 0.750, 0.750)
Sc (0.250, 0.250, 0.250)
Y (0.500, 0.500, 0.500)

---

# LuPaIn

A relaxed structure of LuPaIn (PBE-GGA, OQMD).

total energy: -0.3753 Ry per atom

a = 5.063 Å, b = 5.063 Å, c = 5.063 Å
α = 60.00°, β = 60.00°, γ = 60.00°
Sites, in units of the cell vectors:
In (0.000, 0.000, 0.000)
Lu (0.250, 0.250, 0.250)
Pa (0.750, 0.750, 0.750)

---

# AgBi2Ir

A relaxed structure of AgBi2Ir (PBE-GGA, OQMD).

total energy: -0.3194 Ry per atom

a = 5.016 Å, b = 5.016 Å, c = 5.016 Å
α = 60.00°, β = 60.00°, γ = 60.00°
Sites, in units of the cell vectors:
Ag (0.750, 0.750, 0.750)
Bi (0.250, 0.250, 0.250)
Bi (0.500, 0.500, 0.500)
Ir (0.000, 0.000, 0.000)

---

# TbHo2In3CuNi2

A relaxed structure of TbHo2In3CuNi2 (PBE-GGA, OQMD).

total energy: -0.3364 Ry per atom

a = 3.833 Å, b = 7.455 Å, c = 7.455 Å
α = 119.99°, β = 90.00°, γ = 90.00°
Sites, in units of the cell vectors:
Cu (0.000, 0.000, 0.000)
Ho (0.000, 0.413, 0.000)
Ho (0.000, 0.000, 0.413)
In (0.500, 0.742, 0.000)
In (0.500, 0.258, 0.258)
In (0.500, 0.000, 0.742)
Ni (0.500, 0.667, 0.333)
Ni (0.500, 0.333, 0.667)
Tb (0.000, 0.587, 0.587)

---

What did the second record say?
# LuPaIn

A relaxed structure of LuPaIn (PBE-GGA, OQMD).

total energy: -0.3753 Ry per atom

a = 5.063 Å, b = 5.063 Å, c = 5.063 Å
α = 60.00°, β = 60.00°, γ = 60.00°
Sites, in units of the cell vectors:
In (0.000, 0.000, 0.000)
Lu (0.250, 0.250, 0.250)
Pa (0.750, 0.750, 0.750)

---

> Among the records above, which one has the lowest total energy?

YScAlCo

---

> Number 2 is which compound?

LuPaIn

---

> total energy of number 2 (LuPaIn)?

-0.3753 Ry per atom